{
  "formula": "CeFeNiC",
  "functional": "GGA-PBE",
  "state": "relaxed",
  "lattice": [[3.455, 0.000, 0.000], [0.000, 3.455, 0.000], [0.000, 0.000, 9.241]],
  "species": ["Ce", "Ce", "Fe", "Fe", "Ni", "Ni", "C", "C"],
  "frac_coords": [[0.250, 0.250, 0.242], [0.750, 0.750, 0.758], [0.250, 0.750, 0.500], [0.750, 0.250, 0.500], [0.250, 0.750, 0.000], [0.750, 0.250, 0.000], [0.250, 0.250, 0.600], [0.750, 0.750, 0.400]],
  "total_magnetization_mub_per_fu": 0.0,
  "final_energy_ev_per_atom": -7.52,
  "sg": "No. 129",
  "vol_a3_per_cell": 110.3,
  "e_form_ev_per_atom": -0.17
}

=====

{
  "formula": "NaPrSnPb",
  "functional": "GGA-PBE",
  "state": "relaxed",
  "lattice": [[4.659, 0.000, 0.000], [0.000, 4.883, 0.000], [0.000, 0.000, 4.978]],
  "species": ["Na", "Pr", "Sn", "Pb"],
  "frac_coords": [[0.000, 0.000, 0.000], [0.000, 0.500, 0.500], [0.500, 0.000, 0.500], [0.500, 0.500, 0.000]],
  "total_magnetization_mub_per_fu": 0.0,
  "final_energy_ev_per_atom": -3.90,
  "sg": "No. 47",
  "vol_a3_per_cell": 113.3,
  "polymorph_energy_mev_per_atom": 0,
  "e_form_ev_per_atom": -0.44
}

=====

{
  "formula": "DyPu3Tl3S8",
  "functional": "GGA-PBE",
  "state": "relaxed",
  "lattice": [[7.028, -4.050, 0.000], [7.028, 4.050, 0.000], [-4.680, 0.000, 7.467]],
  "species": ["Dy", "Pu", "Pu", "Pu", "Tl", "Tl", "Tl", "S", "S", "S", "S", "S", "S", "S", "S"],
  "frac_coords": [[0.000, 0.000, 0.000], [0.000, 0.500, 0.000], [0.500, 0.000, 0.000], [0.500, 0.500, 0.000], [0.000, 0.000, 0.500], [0.000, 0.500, 0.500], [0.500, 0.000, 0.500], [0.232, 0.232, 0.192], [0.232, 0.732, 0.194], [0.267, 0.267, 0.804], [0.268, 0.768, 0.806], [0.732, 0.232, 0.194], [0.733, 0.733, 0.196], [0.768, 0.268, 0.806], [0.768, 0.768, 0.808]],
  "total_magnetization_mub_per_fu": 4.7,
  "final_energy_ev_per_atom": -7.15,
  "sg": "No. 12",
  "vol_a3_per_cell": 425.1
}

=====

{
  "formula": "NaReAs2Os",
  "functional": "GGA-PBE",
  "state": "relaxed",
  "lattice": [[4.604, 0.000, 0.000], [0.000, 4.604, 0.000], [0.000, 0.000, 4.619]],
  "species": ["Na", "Re", "As", "As", "Os"],
  "frac_coords": [[0.000, 0.000, 0.000], [0.000, 0.000, 0.500], [0.000, 0.500, 0.000], [0.500, 0.000, 0.000], [0.500, 0.500, 0.500]],
  "total_magnetization_mub_per_fu": 3.0,
  "final_energy_ev_per_atom": -4.26,
  "sg": "No. 123",
  "vol_a3_per_cell": 97.9,
  "e_form_ev_per_atom": 2.60
}

=====

{
  "formula": "Ta3VS6",
  "functional": "GGA-PBE",
  "state": "relaxed",
  "lattice": [[4.928, 2.845, 4.396], [-4.928, 2.845, 4.396], [0.000, -5.691, 4.396]],
  "species": ["Ta", "Ta", "Ta", "Ta", "Ta", "Ta", "V", "V", "S", "S", "S", "S", "S", "S", "S", "S", "S", "S", "S", "S"],
  "frac_coords": [[0.093, 0.230, 0.623], [0.230, 0.623, 0.093], [0.377, 0.907, 0.770], [0.623, 0.093, 0.230], [0.770, 0.377, 0.907], [0.907, 0.770, 0.377], [0.000, 0.000, 0.000], [0.500, 0.500, 0.500], [0.056, 0.901, 0.678], [0.099, 0.322, 0.944], [0.180, 0.542, 0.420], [0.322, 0.944, 0.099], [0.420, 0.180, 0.542], [0.458, 0.580, 0.820], [0.542, 0.420, 0.180], [0.580, 0.820, 0.458], [0.678, 0.056, 0.901], [0.820, 0.458, 0.580], [0.901, 0.678, 0.056], [0.944, 0.099, 0.322]],
  "total_magnetization_mub_per_fu": 1.0,
  "final_energy_ev_per_atom": -7.65,
  "sg": "No. 148",
  "vol_a3_per_cell": 369.9,
  "polymorph_energy_mev_per_atom": 436
}

=====

{
  "formula": "Ac8La6Cd",
  "functional": "GGA-PBE",
  "state": "relaxed",
  "lattice": [[10.041, 0.000, 0.000], [-5.021, 8.696, 0.000], [0.000, 0.000, 7.350]],
  "species": ["Ac", "Ac", "Ac", "Ac", "Ac", "Ac", "Ac", "Ac", "La", "La", "La", "La", "La", "La", "Cd"],
  "frac_coords": [[0.041, 0.690, 0.383], [0.310, 0.351, 0.383], [0.333, 0.667, 0.756], [0.351, 0.041, 0.617], [0.649, 0.959, 0.383], [0.667, 0.333, 0.244], [0.690, 0.649, 0.617], [0.959, 0.310, 0.617], [0.045, 0.367, 0.103], [0.322, 0.955, 0.103], [0.367, 0.322, 0.897], [0.633, 0.678, 0.103], [0.678, 0.045, 0.897], [0.955, 0.633, 0.897], [0.000, 0.000, 0.000]],
  "total_magnetization_mub_per_fu": 0.0,
  "final_energy_ev_per_atom": -4.03,
  "sg": "No. 147",
  "vol_a3_per_cell": 641.8,
  "e_form_ev_per_atom": 0.19
}

=====

{
  "formula": "NpP2W",
  "functional": "GGA-PBE",
  "state": "relaxed",
  "lattice": [[1.742, 1.006, 6.858], [-1.742, 1.006, 6.858], [0.000, -2.012, 6.858]],
  "species": ["Np", "P", "P", "W"],
  "frac_coords": [[0.000, 0.000, 0.000], [0.427, 0.427, 0.427], [0.568, 0.568, 0.568], [0.829, 0.829, 0.829]],
  "total_magnetization_mub_per_fu": 4.7,
  "final_energy_ev_per_atom": -9.63,
  "sg": "No. 160",
  "vol_a3_per_cell": 72.1,
  "polymorph_energy_mev_per_atom": 3,
  "e_form_ev_per_atom": -0.45
}

=====

{
  "formula": "MnFeP2",
  "functional": "GGA-PBE",
  "state": "relaxed",
  "lattice": [[-1.579, 2.634, 2.846], [1.579, -2.634, 2.846], [1.579, 2.634, -2.846]],
  "species": ["Mn", "Fe", "P", "P"],
  "frac_coords": [[0.000, 0.000, 0.000], [0.547, 0.047, 0.500], [0.125, 0.352, 0.773], [0.578, 0.352, 0.227]],
  "total_magnetization_mub_per_fu": 0.0,
  "final_energy_ev_per_atom": -7.54,
  "sg": "No. 44",
  "vol_a3_per_cell": 47.4,
  "polymorph_energy_mev_per_atom": 168,
  "e_form_ev_per_atom": -0.42
}

=====

{
  "formula": "PrHoTm2",
  "functional": "GGA-PBE",
  "state": "relaxed",
  "lattice": [[5.036, 0.000, 0.000], [0.000, 5.036, 0.000], [0.000, 0.000, 5.004]],
  "species": ["Pr", "Ho", "Tm", "Tm"],
  "frac_coords": [[0.000, 0.000, 0.000], [0.500, 0.500, 0.000], [0.000, 0.500, 0.500], [0.500, 0.000, 0.500]],
  "total_magnetization_mub_per_fu": 0.0,
  "final_energy_ev_per_atom": -4.55,
  "sg": "No. 123",
  "vol_a3_per_cell": 126.9,
  "polymorph_energy_mev_per_atom": 10,
  "e_form_ev_per_atom": 0.03
}

=====

{
  "formula": "NaCoN",
  "functional": "GGA-PBE",
  "state": "relaxed",
  "lattice": [[5.420, 0.000, 0.000], [0.000, 6.100, 0.000], [-3.440, 0.000, 5.067]],
  "species": ["Na", "Na", "Na", "Na", "Co", "Co", "Co", "Co", "N", "N", "N", "N"],
  "frac_coords": [[0.127, 0.002, 0.314], [0.127, 0.498, 0.814], [0.873, 0.502, 0.186], [0.873, 0.998, 0.686], [0.498, 0.632, 0.632], [0.498, 0.868, 0.132], [0.502, 0.132, 0.868], [0.502, 0.368, 0.368], [0.497, 0.664, 0.336], [0.497, 0.836, 0.836], [0.503, 0.164, 0.164], [0.503, 0.336, 0.664]],
  "total_magnetization_mub_per_fu": 0.0,
  "final_energy_ev_per_atom": -5.70,
  "sg": "No. 14",
  "vol_a3_per_cell": 167.6,
  "polymorph_energy_mev_per_atom": 0
}

=====

{
  "formula": "InRhSe",
  "functional": "GGA-PBE",
  "state": "relaxed",
  "lattice": [[0.000, 3.139, 3.139], [3.139, 0.000, 3.139], [3.139, 3.139, 0.000]],
  "species": ["In", "Rh", "Se"],
  "frac_coords": [[0.000, 0.000, 0.000], [0.250, 0.250, 0.250], [0.500, 0.500, 0.500]],
  "total_magnetization_mub_per_fu": 0.0,
  "final_energy_ev_per_atom": -4.73,
  "sg": "No. 216",
  "vol_a3_per_cell": 61.9,
  "polymorph_energy_mev_per_atom": 0
}

=====

{
  "formula": "TbPr5Hg3",
  "functional": "GGA-PBE",
  "state": "relaxed",
  "lattice": [[9.439, 0.000, 0.000], [-4.720, 8.174, 0.000], [0.000, 0.000, 7.076]],
  "species": ["Tb", "Tb", "Pr", "Pr", "Pr", "Pr", "Pr", "Pr", "Pr", "Pr", "Pr", "Pr", "Hg", "Hg", "Hg", "Hg", "Hg", "Hg"],
  "frac_coords": [[0.000, 0.000, 0.000], [0.000, 0.000, 0.500], [0.000, 0.336, 0.250], [0.000, 0.664, 0.750], [0.333, 0.667, 0.000], [0.333, 0.667, 0.500], [0.336, 0.000, 0.250], [0.336, 0.336, 0.750], [0.664, 0.000, 0.750], [0.664, 0.664, 0.250], [0.667, 0.333, 0.000], [0.667, 0.333, 0.500], [0.000, 0.326, 0.750], [0.000, 0.674, 0.250], [0.326, 0.000, 0.750], [0.326, 0.326, 0.250], [0.674, 0.000, 0.250], [0.674, 0.674, 0.750]],
  "total_magnetization_mub_per_fu": 0.0,
  "final_energy_ev_per_atom": -3.55,
  "sg": "No. 193",
  "vol_a3_per_cell": 546.0,
  "e_form_ev_per_atom": -0.28
}

=====

{
  "formula": "GeAs2RhSe",
  "functional": "GGA-PBE",
  "state": "relaxed",
  "lattice": [[4.666, 0.000, 0.000], [0.000, 4.666, 0.000], [0.000, 0.000, 5.354]],
  "species": ["Ge", "As", "As", "Rh", "Se"],
  "frac_coords": [[0.000, 0.000, 0.000], [0.000, 0.500, 0.500], [0.500, 0.000, 0.500], [0.500, 0.500, 0.500], [0.500, 0.500, 0.000]],
  "total_magnetization_mub_per_fu": 0.0,
  "final_energy_ev_per_atom": -4.50,
  "sg": "No. 123",
  "vol_a3_per_cell": 116.6,
  "polymorph_energy_mev_per_atom": 0
}

=====

{
  "formula": "Al2CoBr",
  "functional": "GGA-PBE",
  "state": "relaxed",
  "lattice": [[4.256, -1.639, 0.000], [4.256, 1.639, 0.000], [-0.885, 0.000, 5.904]],
  "species": ["Al", "Al", "Co", "Br"],
  "frac_coords": [[0.000, 0.000, 0.000], [0.743, 0.743, 0.232], [0.286, 0.286, 0.979], [0.678, 0.678, 0.616]],
  "total_magnetization_mub_per_fu": 0.0,
  "final_energy_ev_per_atom": -4.12,
  "sg": "No. 8",
  "vol_a3_per_cell": 82.4,
  "polymorph_energy_mev_per_atom": 156
}

=====

{
  "formula": "BeZnTe",
  "functional": "GGA-PBE",
  "state": "relaxed",
  "lattice": [[3.956, 0.000, 0.000], [-1.978, 3.426, 0.000], [0.000, 0.000, 5.253]],
  "species": ["Be", "Zn", "Te"],
  "frac_coords": [[0.000, 0.000, 0.000], [0.000, 0.000, 0.572], [0.667, 0.333, 0.173]],
  "total_magnetization_mub_per_fu": 0.0,
  "final_energy_ev_per_atom": -2.64,
  "sg": "No. 156",
  "vol_a3_per_cell": 71.2,
  "polymorph_energy_mev_per_atom": 16
}

=====

{
  "formula": "KZr2Re",
  "functional": "GGA-PBE",
  "state": "relaxed",
  "lattice": [[3.665, 0.000, 0.000], [0.000, 3.665, 0.000], [0.000, 0.000, 8.550]],
  "species": ["K", "Zr", "Zr", "Re"],
  "frac_coords": [[0.000, 0.000, 0.000], [0.000, 0.000, 0.422], [0.500, 0.500, 0.622], [0.500, 0.500, 0.319]],
  "total_magnetization_mub_per_fu": 0.0,
  "final_energy_ev_per_atom": -7.09,
  "sg": "No. 99",
  "vol_a3_per_cell": 114.8,
  "polymorph_energy_mev_per_atom": 376,
  "e_form_ev_per_atom": 0.57
}

=====

{
  "formula": "Zr2BeCu3",
  "functional": "GGA-PBE",
  "state": "relaxed",
  "lattice": [[5.073, 0.000, 0.000], [-2.536, 4.393, 0.000], [0.000, 0.000, 7.949]],
  "species": ["Zr", "Zr", "Zr", "Zr", "Be", "Be", "Cu", "Cu", "Cu", "Cu", "Cu", "Cu"],
  "frac_coords": [[0.333, 0.667, 0.042], [0.333, 0.667, 0.458], [0.667, 0.333, 0.542], [0.667, 0.333, 0.958], [0.000, 0.000, 0.000], [0.000, 0.000, 0.500], [0.164, 0.328, 0.750], [0.164, 0.836, 0.750], [0.328, 0.164, 0.250], [0.672, 0.836, 0.750], [0.836, 0.164, 0.250], [0.836, 0.672, 0.250]],
  "total_magnetization_mub_per_fu": 0.0,
  "final_energy_ev_per_atom": -5.64,
  "sg": "No. 194",
  "vol_a3_per_cell": 177.2,
  "e_form_ev_per_atom": -0.12
}

=====

{
  "formula": "TbThNi2",
  "functional": "GGA-PBE",
  "state": "relaxed",
  "lattice": [[3.670, 0.000, 0.000], [0.000, 4.345, 0.000], [-1.801, 0.000, 5.251]],
  "species": ["Tb", "Th", "Ni", "Ni"],
  "frac_coords": [[0.000, 0.000, 0.000], [0.269, 0.500, 0.544], [0.559, 0.500, 0.120], [0.718, 0.000, 0.440]],
  "total_magnetization_mub_per_fu": 0.0,
  "final_energy_ev_per_atom": -6.35,
  "sg": "No. 6",
  "vol_a3_per_cell": 83.7,
  "polymorph_energy_mev_per_atom": 0,
  "e_form_ev_per_atom": -0.44
}

=====

{
  "formula": "La2Tb5TmTh",
  "functional": "GGA-PBE",
  "state": "relaxed",
  "lattice": [[2.822, -9.900, 0.000], [2.822, 9.900, 0.000], [0.000, 0.000, 10.929]],
  "species": ["La", "La", "La", "La", "Tb", "Tb", "Tb", "Tb", "Tb", "Tb", "Tb", "Tb", "Tb", "Tb", "Tm", "Tm", "Th", "Th"],
  "frac_coords": [[0.116, 0.884, 0.500], [0.116, 0.884, 0.919], [0.884, 0.116, 0.000], [0.884, 0.116, 0.419], [0.015, 0.985, 0.210], [0.280, 0.720, 0.498], [0.298, 0.702, 0.892], [0.388, 0.612, 0.204], [0.482, 0.518, 0.922], [0.518, 0.482, 0.422], [0.612, 0.388, 0.704], [0.702, 0.298, 0.392], [0.720, 0.280, 0.998], [0.985, 0.015, 0.710], [0.201, 0.799, 0.194], [0.799, 0.201, 0.694], [0.416, 0.584, 0.646], [0.584, 0.416, 0.146]],
  "total_magnetization_mub_per_fu": 0.0,
  "final_energy_ev_per_atom": -4.83,
  "sg": "No. 36",
  "vol_a3_per_cell": 610.6,
  "e_form_ev_per_atom": 0.16
}

=====

{
  "formula": "LaSc2Tl2",
  "functional": "GGA-PBE",
  "state": "relaxed",
  "lattice": [[-2.305, 2.305, 6.668], [2.305, -2.305, 6.668], [2.305, 2.305, -6.668]],
  "species": ["La", "Sc", "Sc", "Tl", "Tl"],
  "frac_coords": [[0.000, 0.000, 0.000], [0.250, 0.750, 0.500], [0.750, 0.250, 0.500], [0.391, 0.391, 0.000], [0.609, 0.609, 0.000]],
  "total_magnetization_mub_per_fu": 0.0,
  "final_energy_ev_per_atom": -4.70,
  "sg": "No. 139",
  "vol_a3_per_cell": 141.6,
  "polymorph_energy_mev_per_atom": 6,
  "e_form_ev_per_atom": -0.24
}